(1)
Crystalline Cd2SbP at its relaxed geometry, computed with PBEsol.

Geometry as extended XYZ:
```
16
Lattice="6.9761 0.0000 0.0000 0.0000 6.9761 0.0000 0.0000 0.0000 6.9761" Properties=species:S:1:pos:R:3 pbc="T T T"
Cd 0.0000 0.0000 0.0000
Cd 0.0000 3.4881 3.4881
Cd 1.7440 1.7440 1.7440
Cd 1.7440 5.2321 5.2321
Cd 3.4881 0.0000 3.4881
Cd 3.4881 3.4881 0.0000
Cd 5.2321 1.7440 5.2321
Cd 5.2321 5.2321 1.7440
Sb 0.0000 0.0000 3.4881
Sb 0.0000 3.4881 0.0000
Sb 3.4881 0.0000 0.0000
Sb 3.4881 3.4881 3.4881
P 1.7440 1.7440 5.2321
P 1.7440 5.2321 1.7440
P 5.2321 1.7440 1.7440
P 5.2321 5.2321 5.2321
```

Calculated values
SG	F-43m
DFT total energy	-2.853	eV per atom
calculated density	7.39	g cm⁻³
total moment	0.00	μB/cell



(2)
Crystalline CdSbP2 at its relaxed geometry, computed with PBEsol.

Geometry as extended XYZ:
```
8
Lattice="11.2588 0.0000 0.0000 0.0000 3.1698 0.0000 -2.6053 0.0000 4.9931" Properties=species:S:1:pos:R:3 pbc="T T T"
Cd 0.0000 0.0000 0.0000
Cd 5.6294 1.5849 0.0000
Sb 2.6982 1.5849 0.1261
Sb 8.3276 0.0000 0.1261
P -0.6508 0.0000 2.6035
P 3.4104 0.0000 2.5266
P 4.9786 1.5849 2.6035
P 9.0397 1.5849 2.5266
```

Calculated values
SG	Cm
DFT total energy	-4.133	eV per atom
calculated density	5.52	g cm⁻³
total moment	0.00	μB/cell



(3)
Crystalline CdSbP2 at its relaxed geometry, computed with PBEsol.

Geometry as extended XYZ:
```
16
Lattice="6.7554 0.0000 0.0000 0.0000 6.7554 0.0000 0.0000 0.0000 6.7554" Properties=species:S:1:pos:R:3 pbc="T T T"
Cd 0.0000 0.0000 0.0000
Cd 0.0000 3.3777 3.3777
Cd 3.3777 0.0000 3.3777
Cd 3.3777 3.3777 0.0000
Sb 1.6888 1.6888 5.0665
Sb 1.6888 5.0665 1.6888
Sb 5.0665 1.6888 1.6888
Sb 5.0665 5.0665 5.0665
P 0.0000 0.0000 3.3777
P 0.0000 3.3777 0.0000
P 1.6888 1.6888 1.6888
P 1.6888 5.0665 5.0665
P 3.3777 0.0000 0.0000
P 3.3777 3.3777 3.3777
P 5.0665 1.6888 5.0665
P 5.0665 5.0665 1.6888
```

Calculated values
SG	F-43m
DFT total energy	-3.799	eV per atom
calculated density	6.38	g cm⁻³
total moment	0.00	μB/cell